# 1
Compound: LiEr3Ge3
Source: the Alexandria database
Functional: PBE
Structure: optimized geometry

Calculated values
**Volume**: 296 Å³/cell
**Energy relative to the elements**: -508 kJ/mol of formula units
**DOS(E_F)**: 3.84 states/eV/f.u.
**Space group**: C2/m

Structure (POSCAR):
```
LiEr3Ge3
1.0
5.3663 -2.1259 0.0000
5.3663 2.1259 0.0000
-4.7307 0.0000 12.9565
Li Er Ge
2 6 6
Direct
0.2415 0.2415 0.4064
0.7585 0.7585 0.5936
0.2543 0.2543 0.7769
0.4005 0.4005 0.0785
0.4714 0.4714 0.6206
0.5286 0.5286 0.3794
0.5995 0.5995 0.9215
0.7457 0.7457 0.2231
0.0339 0.0339 0.2321
0.1243 0.1243 0.0762
0.1276 0.1276 0.5516
0.8724 0.8724 0.4484
0.8757 0.8757 0.9238
0.9661 0.9661 0.7679
```

---

# 2
Compound: Li4ErGe2
Source: the Alexandria database
Functional: PBE
Structure: optimized geometry

Calculated values
**Volume**: 245 Å³/cell
**Energy relative to the elements**: -310 kJ/mol of formula units
**DOS(E_F)**: 2.86 states/eV/f.u.
**Space group**: P4_2/mnm

Structure (POSCAR):
```
Li4ErGe2
1.0
7.5253 0.0000 0.0000
0.0000 7.5253 0.0000
0.0000 0.0000 4.3243
Li Er Ge
8 2 4
Direct
0.1056 0.3505 0.0000
0.1495 0.6056 0.5000
0.3505 0.1056 0.0000
0.3944 0.8505 0.5000
0.6056 0.1495 0.5000
0.6495 0.8944 0.0000
0.8505 0.3944 0.5000
0.8944 0.6495 0.0000
0.0000 0.0000 0.5000
0.5000 0.5000 0.0000
0.2097 0.7903 0.0000
0.2903 0.2903 0.5000
0.7097 0.7097 0.5000
0.7903 0.2097 0.0000
```

---

# 3
Compound: Li3ErGe2
Source: the Alexandria database
Functional: PBE
Structure: optimized geometry

Calculated values
**Volume**: 217 Å³/cell
**Energy relative to the elements**: -279 kJ/mol of formula units
**DOS(E_F)**: 2.11 states/eV/f.u.
**Space group**: C2/m

Structure (POSCAR):
```
Li3ErGe2
1.0
7.1857 -2.1201 0.0000
7.1857 2.1201 0.0000
-3.5725 0.0000 7.1300
Li Er Ge
6 2 4
Direct
0.0434 0.0434 0.3718
0.3057 0.3057 0.5198
0.4005 0.4005 0.3053
0.5995 0.5995 0.6947
0.6943 0.6943 0.4802
0.9566 0.9566 0.6282
0.1480 0.1480 0.0516
0.8520 0.8520 0.9484
0.1987 0.1987 0.7230
0.4717 0.4717 0.8328
0.5283 0.5283 0.1672
0.8013 0.8013 0.2770
```

---

# 4
Compound: Li2ErGe2
Source: the Alexandria database
Functional: PBE
Structure: optimized geometry

Calculated values
**Volume**: 92 Å³/cell
**Energy relative to the elements**: -266 kJ/mol of formula units
**DOS(E_F)**: 1.80 states/eV/f.u.
**Space group**: I4/mmm

Structure (POSCAR):
```
Li2ErGe2
1.0
-2.0000 2.0000 5.7659
2.0000 -2.0000 5.7659
2.0000 2.0000 -5.7659
Li Er Ge
2 1 2
Direct
0.2500 0.7500 0.5000
0.7500 0.2500 0.5000
0.0000 0.0000 0.0000
0.3933 0.3933 0.0000
0.6067 0.6067 0.0000
```

---

# 5
Compound: Li2Er3Ge4
Source: the Alexandria database
Functional: PBE
Structure: optimized geometry

Calculated values
**Volume**: 178 Å³/cell
**Energy relative to the elements**: -580 kJ/mol of formula units
**DOS(E_F)**: 2.91 states/eV/f.u.
**Space group**: C2/m

Structure (POSCAR):
```
Li2Er3Ge4
1.0
5.4561 -2.0822 0.0000
5.4561 2.0822 0.0000
-2.6237 0.0000 7.8254
Li Er Ge
2 3 4
Direct
0.1825 0.1825 0.3572
0.8175 0.8175 0.6428
0.1289 0.1289 0.6904
0.5000 0.5000 0.0000
0.8711 0.8711 0.3096
0.2093 0.2093 0.0684
0.4258 0.4258 0.6032
0.5742 0.5742 0.3968
0.7907 0.7907 0.9316
```

---

# 6
Compound: Li2ErMgGe2
Source: the Alexandria database
Functional: PBE
Structure: optimized geometry

Calculated values
**Volume**: 110 Å³/cell
**Energy relative to the elements**: -295 kJ/mol of formula units
**DOS(E_F)**: 1.59 states/eV/f.u.
**Space group**: P-3m1

Structure (POSCAR):
```
Li2ErMgGe2
1.0
4.3775 0.0000 0.0000
-2.1888 3.7911 0.0000
0.0000 0.0000 6.6303
Li Er Mg Ge
2 1 1 2
Direct
0.3333 0.6667 0.1850
0.6667 0.3333 0.8150
0.0000 0.0000 0.5000
0.0000 0.0000 0.0000
0.3333 0.6667 0.7436
0.6667 0.3333 0.2564
```